The following is a DFT calculation (PBE with a Hubbard U) of crystalline PmMn2RhO6 at its relaxed geometry.

```
10
Lattice="-5.046 -0.939 -1.669 -0.854 -1.523 -5.060 -1.501 -5.405 -0.964" Properties=species:S:1:pos:R:3 pbc="T T T"
Pm -5.621 -5.337 -5.914
Mn -3.725 -3.595 -3.947
Mn -1.526 -5.305 -0.985
Rh -1.964 -0.960 -2.207
O -3.649 -2.204 -2.493
O -2.324 -2.884 -5.231
O -5.493 -3.032 -4.903
O -3.542 -5.468 -4.993
O -4.940 -5.014 -2.776
O -2.246 -4.783 -2.751
```

Output
total DFT energy (no corrections) = -74.328 eV/f.u.
M_tot = 8.0 μB/f.u.